--- A ---
The following is a DFT calculation (PBE) of a relaxed TaPdPb2O6 crystal.

```
TaPdPb2O6
1.0
2.874 1.660 4.583
-2.874 1.660 4.583
0.000 -3.319 4.583
Ta Pd Pb O
1 1 2 6
Cartesian
0.000 0.000 0.000 Ta
0.000 0.000 6.875 Pd
0.000 0.000 3.424 Pb
0.000 0.000 10.326 Pb
-1.664 0.564 5.724 O
-1.321 -1.159 8.026 O
0.344 -1.723 5.724 O
-0.344 1.723 8.026 O
1.321 1.159 5.724 O
1.664 -0.564 8.026 O
```

---

--- B ---
The following is a DFT calculation (PBE) of a relaxed TaPdPb2O6 crystal.

```
TaPdPb2O6
1.0
-2.850 2.850 4.056
2.850 -2.850 4.056
2.850 2.850 -4.056
Ta Pd Pb O
1 1 2 6
Cartesian
0.000 0.000 0.000 Ta
0.000 0.000 4.056 Pd
2.850 0.000 2.028 Pb
0.000 2.850 2.028 Pb
0.000 0.000 1.978 O
1.396 1.396 0.000 O
1.454 -1.454 4.056 O
-1.454 1.454 4.056 O
1.454 1.454 4.056 O
0.000 0.000 6.133 O
```

---

It comes down to A, which is 26 meV/atom more stable than the next structure.

---

--- A ---
The following is a DFT calculation (PBE) of a relaxed PtPbSeO crystal.

```
PtPbSeO
1.0
5.218 0.000 0.000
0.000 7.605 0.000
0.000 0.000 9.286
Pt Pb Se O
4 4 4 4
Cartesian
0.667 1.644 4.414 Pt
1.942 5.961 9.057 Pt
3.276 2.159 4.872 Pt
4.552 5.447 0.229 Pt
1.029 0.908 8.446 Pb
1.580 6.697 3.803 Pb
3.639 2.895 0.840 Pb
4.189 4.711 5.483 Pb
1.090 4.838 1.739 Se
1.519 2.767 6.382 Se
3.700 6.570 7.547 Se
4.128 1.036 2.904 Se
1.049 5.363 5.385 O
1.560 2.242 0.741 O
3.658 6.045 3.902 O
4.169 1.561 8.545 O
```

---

--- B ---
The following is a DFT calculation (PBE) of a relaxed PtPbSeO crystal.

```
PtPbSeO
1.0
5.976 0.000 0.000
0.000 8.968 0.000
0.000 0.000 5.964
Pt Pb Se O
4 4 4 4
Cartesian
1.296 1.229 0.000 Pt
1.692 1.229 2.982 Pt
4.285 7.739 0.000 Pt
4.680 7.739 2.982 Pt
0.695 6.815 5.239 Pb
2.293 6.815 2.257 Pb
3.684 2.153 5.239 Pb
5.281 2.153 2.257 Pb
0.217 3.392 5.701 Se
2.771 3.392 2.719 Se
3.206 5.576 5.701 Se
5.759 5.576 2.719 Se
0.812 8.351 3.317 O
2.176 8.351 0.335 O
3.800 0.618 3.317 O
5.164 0.618 0.335 O
```

---

It comes down to A, which is 20 meV/atom more stable than the next structure.

---

--- A ---
The following is a DFT calculation (PBE) of a relaxed PtPbSeO crystal.

```
PtPbSeO
1.0
4.195 0.000 0.000
0.000 4.195 0.000
0.000 0.000 8.997
Pt Pb Se O
2 2 2 2
Cartesian
1.049 1.049 1.504 Pt
3.146 3.146 7.493 Pt
1.049 1.049 5.849 Pb
3.146 3.146 3.148 Pb
1.049 3.146 0.000 Se
3.146 1.049 0.000 Se
1.049 1.049 3.626 O
3.146 3.146 5.372 O
```

---

--- B ---
The following is a DFT calculation (PBE) of a relaxed PtPbSeO crystal.

```
PtPbSeO
1.0
6.689 0.000 0.000
0.000 8.335 0.000
0.000 0.000 5.602
Pt Pb Se O
4 4 4 4
Cartesian
0.906 1.558 0.000 Pt
2.439 1.558 2.801 Pt
4.251 6.776 0.000 Pt
5.783 6.776 2.801 Pt
0.389 5.419 5.482 Pb
2.955 5.419 2.681 Pb
3.734 2.916 5.482 Pb
6.300 2.916 2.681 Pb
1.062 8.153 3.796 Se
2.282 8.153 0.995 Se
4.407 0.181 3.796 Se
5.627 0.181 0.995 Se
0.375 5.072 2.985 O
2.970 5.072 0.184 O
3.719 3.262 2.985 O
6.315 3.262 0.184 O
```

---

--- C ---
The following is a DFT calculation (PBE) of a relaxed PtPbSeO crystal.

```
PtPbSeO
1.0
3.779 0.000 0.000
0.000 3.779 0.000
0.000 0.000 11.647
Pt Pb Se O
2 2 2 2
Cartesian
0.945 2.834 0.000 Pt
2.834 0.945 0.000 Pt
0.945 0.945 4.509 Pb
2.834 2.834 7.138 Pb
0.945 0.945 9.890 Se
2.834 2.834 1.757 Se
0.945 0.945 6.723 O
2.834 2.834 4.924 O
```

---

It comes down to C, which is 12 meV/atom more stable than the next structure.

---

--- A ---
The following is a DFT calculation (PBE) of a relaxed Re2Pb2O5 crystal.

```
Re2Pb2O5
1.0
3.390 0.000 0.000
0.000 3.390 0.000
0.000 0.000 10.894
Re Pb O
2 2 5
Cartesian
0.000 0.000 0.000 Re
0.000 0.000 5.447 Re
1.695 1.695 2.582 Pb
1.695 1.695 8.312 Pb
0.000 1.695 4.299 O
0.000 1.695 6.595 O
1.695 0.000 4.299 O
1.695 0.000 6.595 O
1.695 1.695 0.000 O
```

---

--- B ---
The following is a DFT calculation (PBE) of a relaxed Re2Pb2O5 crystal.

```
Re2Pb2O5
1.0
3.917 0.000 0.000
0.000 3.917 0.000
0.000 0.000 7.941
Re Pb O
2 2 5
Cartesian
0.000 0.000 1.797 Re
0.000 0.000 6.144 Re
1.958 1.958 0.000 Pb
1.958 1.958 3.971 Pb
0.000 0.000 3.971 O
0.000 1.958 1.894 O
0.000 1.958 6.047 O
1.958 0.000 1.894 O
1.958 0.000 6.047 O
```

---

It comes down to B, which is 502 meV/atom more stable than the next structure.

---

--- A ---
The following is a DFT calculation (PBE) of a relaxed TbPb2SO6 crystal.

```
TbPb2SO6
1.0
5.769 0.000 0.000
0.000 5.617 0.000
-5.654 0.000 8.003
Tb Pb S O
2 4 2 12
Cartesian
0.000 0.000 0.000 Tb
-2.827 2.809 4.002 Tb
-2.766 0.014 6.051 Pb
0.061 2.795 2.049 Pb
0.054 2.822 5.954 Pb
2.881 5.604 1.952 Pb
0.058 0.000 4.002 S
2.884 2.809 0.000 S
-3.090 2.819 6.211 O
-0.263 5.607 2.209 O
1.554 4.041 0.246 O
-1.273 4.385 4.248 O
-1.157 1.352 4.222 O
1.670 1.456 0.221 O
-1.555 4.161 7.783 O
1.272 4.265 3.781 O
1.388 1.232 3.755 O
-1.439 1.576 7.757 O
0.378 0.010 5.794 O
3.205 2.799 1.793 O
```

---

--- B ---
The following is a DFT calculation (PBE) of a relaxed TbPb2SO6 crystal.

```
TbPb2SO6
1.0
-2.841 2.841 4.033
2.841 -2.841 4.033
2.841 2.841 -4.033
Tb Pb S O
1 2 1 6
Cartesian
0.000 0.000 0.000 Tb
2.841 0.000 2.016 Pb
0.000 2.841 2.016 Pb
0.000 0.000 4.033 S
0.000 0.000 2.208 O
1.556 1.556 0.000 O
1.285 -1.285 4.033 O
-1.285 1.285 4.033 O
0.000 0.000 5.858 O
1.285 1.285 4.033 O
```

---

It comes down to A, which is 7 meV/atom more stable than the next structure.

---

--- A ---
The following is a DFT calculation (PBE) of a relaxed ZrSbPb2O6 crystal.

```
ZrSbPb2O6
1.0
5.059 -2.929 0.000
5.059 2.929 0.000
-3.234 0.000 9.671
Zr Sb Pb O
2 2 4 12
Cartesian
2.633 1.498 7.253 Zr
4.251 -1.498 2.418 Zr
2.530 1.464 0.000 Sb
0.912 -1.464 4.835 Sb
2.534 1.583 3.586 Pb
5.967 1.583 1.250 Pb
0.917 -1.583 8.421 Pb
4.350 -1.583 6.085 Pb
1.236 1.700 8.832 O
-1.253 0.118 8.146 O
0.364 -0.118 3.310 O
4.031 1.700 5.674 O
1.499 0.124 6.159 O
3.116 -0.124 1.324 O
3.768 0.124 8.347 O
5.386 -0.124 3.511 O
2.853 -1.700 3.997 O
6.520 0.118 6.360 O
8.138 -0.118 1.525 O
5.648 -1.700 0.838 O
```

---

--- B ---
The following is a DFT calculation (PBE) of a relaxed ZrSbPb2O6 crystal.

```
ZrSbPb2O6
1.0
5.115 0.000 0.000
-1.230 5.000 0.000
-1.223 -1.607 5.673
Zr Sb Pb O
1 1 2 6
Cartesian
0.000 0.000 0.000 Zr
1.943 2.500 0.000 Sb
-0.236 2.934 2.821 Pb
2.898 0.459 2.852 Pb
-0.213 -0.301 4.315 O
0.383 3.721 0.023 O
1.043 1.331 1.378 O
1.619 2.062 4.296 O
2.280 -0.328 5.651 O
2.875 3.693 1.358 O
```

---

It comes down to A, which is 19 meV/atom more stable than the next structure.

---

--- A ---
The following is a DFT calculation (PBE) of a relaxed ScTaPb2O6 crystal.

```
ScTaPb2O6
1.0
0.000 4.211 4.211
4.211 0.000 4.211
4.211 4.211 0.000
Sc Ta Pb O
1 1 2 6
Cartesian
0.000 0.000 0.000 Sc
4.211 4.211 4.211 Ta
2.106 2.106 2.106 Pb
6.317 6.317 6.317 Pb
2.106 2.106 0.000 O
2.106 0.000 2.106 O
4.211 2.106 2.106 O
0.000 2.106 2.106 O
2.106 4.211 2.106 O
2.106 2.106 4.211 O
```

---

--- B ---
The following is a DFT calculation (PBE) of a relaxed ScTaPb2O6 crystal.

```
ScTaPb2O6
1.0
-2.855 2.855 4.102
2.855 -2.855 4.102
2.855 2.855 -4.102
Sc Ta Pb O
1 1 2 6
Cartesian
0.000 0.000 0.000 Sc
0.000 0.000 4.102 Ta
2.855 0.000 2.051 Pb
0.000 2.855 2.051 Pb
1.719 1.211 0.000 O
0.000 0.000 2.101 O
1.644 -1.137 4.102 O
1.211 3.992 0.000 O
0.000 0.000 6.103 O
1.137 1.644 4.102 O
```

---

It comes down to B, which is 2007 meV/atom more stable than the next structure.

---

--- A ---
The following is a DFT calculation (PBE) of a relaxed ZnPbSeO crystal.

```
ZnPbSeO
1.0
6.885 0.000 0.000
0.000 6.983 0.000
0.027 0.899 7.333
Zn Pb Se O
4 4 4 4
Cartesian
0.000 0.000 0.000 Zn
0.575 4.095 5.201 Zn
3.462 2.943 7.265 Zn
4.011 5.842 2.068 Zn
0.147 4.039 1.374 Pb
2.649 2.134 3.947 Pb
3.597 5.893 5.894 Pb
6.091 0.818 3.320 Pb
0.778 6.507 5.389 Se
2.233 0.331 1.155 Se
4.207 3.426 1.869 Se
5.699 2.619 6.126 Se
0.817 3.373 3.389 O
2.540 3.782 5.739 O
4.249 6.571 3.876 O
5.970 6.143 1.533 O
```

---

--- B ---
The following is a DFT calculation (PBE) of a relaxed ZnPbSeO crystal.

```
ZnPbSeO
1.0
6.316 0.000 0.000
0.000 7.132 0.000
0.000 0.000 8.047
Zn Pb Se O
4 4 4 4
Cartesian
0.288 0.718 0.230 Zn
2.870 6.413 4.254 Zn
3.446 2.847 7.817 Zn
6.028 4.284 3.793 Zn
0.576 4.528 7.036 Pb
2.582 2.604 3.012 Pb
3.734 6.170 1.011 Pb
5.740 0.962 5.035 Pb
0.726 6.358 3.097 Se
2.432 0.774 7.121 Se
3.885 4.340 4.950 Se
5.590 2.792 0.927 Se
0.644 2.678 4.208 O
2.514 4.454 0.184 O
3.802 0.888 3.839 O
5.672 6.244 7.863 O
```

---

--- C ---
The following is a DFT calculation (PBE) of a relaxed ZnPbSeO crystal.

```
ZnPbSeO
1.0
9.866 0.000 0.000
0.000 18.889 0.000
0.000 0.000 3.625
Zn Pb Se O
8 8 8 8
Cartesian
0.769 2.222 0.000 Zn
0.783 10.969 0.000 Zn
4.150 1.525 0.000 Zn
4.164 11.666 0.000 Zn
5.702 7.223 0.000 Zn
5.716 17.364 0.000 Zn
9.083 7.920 0.000 Zn
9.096 16.667 0.000 Zn
0.166 13.802 1.812 Pb
2.406 16.911 1.812 Pb
2.527 7.466 1.812 Pb
4.767 4.357 1.812 Pb
5.099 14.532 1.812 Pb
7.339 11.423 1.812 Pb
7.460 1.978 1.812 Pb
9.700 5.087 1.812 Pb
2.138 0.144 0.000 Se
2.336 13.563 0.000 Se
2.597 4.119 0.000 Se
2.795 9.588 0.000 Se
7.071 9.301 0.000 Se
7.269 14.770 0.000 Se
7.529 5.326 0.000 Se
7.728 18.745 0.000 Se
0.036 16.383 1.812 O
0.052 11.286 1.812 O
4.881 1.842 1.812 O
4.897 6.939 1.812 O
4.969 11.951 1.812 O
4.985 17.048 1.812 O
9.814 7.603 1.812 O
9.830 2.506 1.812 O
```

---

It comes down to A, which is 21 meV/atom more stable than the next structure.